Compound: NaSb2TeO
Source: Alexandria via LeMat-Bulk
Functional: PBE-GGA
Structure: optimized geometry

abc: 4.755 4.755 5.231
angles: 90.00 90.00 90.00
Atoms (fractional coordinates):
1 Na 0.000 0.000 0.000
2 Sb 0.000 0.500 0.500
3 Sb 0.500 0.000 0.500
4 Te 0.500 0.500 0.000
5 O 0.500 0.500 0.500

Results
For the formation energy without anion corrections, the calculation gives -0.186 eV per atom. As for the volume: 118.27 Å³ per cell. Its space group is P4/mmm. The distance to the lowest polymorph of the same formula comes out at 0 meV per atom. The calculation puts the total DFT energy (no corrections) at -3.72 eV/atom.